[1]
The following is a PBE calculation of crystalline Er2Ga4NiPt3 at its relaxed geometry, from Alexandria.

- VASP energy (eV per atom) = -5.37
- total moment (Bohr magnetons per cell) = 0.00
- symmetry = P-4m2 (115)
- formation energy from the elements (meV per atom) = -859

Unit cell a=3.9794 b=3.9794 c=11.3635 alpha=90.00 beta=90.00 gamma=90.00
Positions (direct):
Ni: 0.5000 0.5000 0.5000
Pt: 0.0000 0.0000 0.5000
Pt: 0.5000 0.0000 0.8496
Pt: 0.0000 0.5000 0.1504
Ga: 0.0000 0.5000 0.3699
Ga: 0.5000 0.5000 0.0000
Ga: 0.0000 0.0000 0.0000
Ga: 0.5000 0.0000 0.6301
Er: 0.0000 0.5000 0.7445
Er: 0.5000 0.0000 0.2555


[2]
The following is a PBE calculation of crystalline ErGa2Ni2Pt at its relaxed geometry, from Alexandria.

- VASP energy (eV per atom) = -4.83
- total moment (Bohr magnetons per cell) = 0.00
- symmetry = P4/mmm (123)
- formation energy from the elements (meV per atom) = -123

Unit cell a=4.6830 b=4.6830 c=5.2951 alpha=90.00 beta=90.00 gamma=90.00
Positions (direct):
Ga: 0.0000 0.5000 0.0000
Ga: 0.5000 0.0000 0.0000
Ni: 0.5000 0.5000 0.2598
Ni: 0.5000 0.5000 0.7402
Pt: 0.0000 0.0000 0.0000
Er: 0.0000 0.0000 0.5000


[3]
The following is a PBE calculation of crystalline Er2GaNi2Rh5 at its relaxed geometry, from Alexandria.

- VASP energy (eV per atom) = -6.60
- total moment (Bohr magnetons per cell) = 0.00
- symmetry = P4/mbm (127)
- formation energy from the elements (meV per atom) = -555

Unit cell a=3.7812 b=9.1634 c=9.1634 alpha=90.00 beta=90.00 gamma=90.00
Positions (direct):
Ga: 0.0000 0.5000 0.5000
Ga: 0.0000 0.0000 0.0000
Ni: 0.0000 0.6252 0.8748
Ni: 0.0000 0.3748 0.1252
Ni: 0.0000 0.8748 0.3748
Ni: 0.0000 0.1252 0.6252
Rh: 0.5000 0.7034 0.4319
Rh: 0.5000 0.5681 0.7034
Rh: 0.5000 0.0681 0.7966
Rh: 0.5000 0.9319 0.2034
Rh: 0.5000 0.5000 0.0000
Rh: 0.5000 0.7966 0.9319
Rh: 0.5000 0.2034 0.0681
Rh: 0.5000 0.0000 0.5000
Rh: 0.5000 0.2966 0.5681
Rh: 0.5000 0.4319 0.2966
Er: 0.0000 0.6730 0.1730
Er: 0.0000 0.3270 0.8270
Er: 0.0000 0.8270 0.6730
Er: 0.0000 0.1730 0.3270


[4]
The following is a PBE calculation of crystalline ErGa4Ni2Rh at its relaxed geometry, from Alexandria.

- VASP energy (eV per atom) = -4.96
- total moment (Bohr magnetons per cell) = 0.00
- symmetry = R-3m (166)
- formation energy from the elements (meV per atom) = -514

Unit cell a=4.1141 b=4.1141 c=8.9932 alpha=76.78 beta=76.78 gamma=60.00
Positions (direct):
Ni: 0.7669 0.7669 0.6993
Ni: 0.2331 0.2331 0.3007
Ga: 0.6000 0.6000 0.2000
Ga: 0.4000 0.4000 0.8000
Ga: 0.8715 0.8715 0.3854
Ga: 0.1285 0.1285 0.6146
Rh: 0.5000 0.5000 0.5000
Er: 0.0000 0.0000 0.0000


[5]
The following is a PBE calculation of crystalline ErGa2Ni2Rh at its relaxed geometry, from Alexandria.

- VASP energy (eV per atom) = -5.06
- total moment (Bohr magnetons per cell) = 0.00
- symmetry = P4/mmm (123)
- formation energy from the elements (meV per atom) = -138

Unit cell a=4.6321 b=4.6321 c=5.1742 alpha=90.00 beta=90.00 gamma=90.00
Positions (direct):
Ni: 0.5000 0.5000 0.2542
Ni: 0.5000 0.5000 0.7458
Rh: 0.0000 0.0000 0.0000
Ga: 0.0000 0.5000 0.0000
Ga: 0.5000 0.0000 0.0000
Er: 0.0000 0.0000 0.5000


[6]
The following is a PBE calculation of crystalline Er2Ga4NiRh3 at its relaxed geometry, from Alexandria.

- VASP energy (eV per atom) = -5.63
- total moment (Bohr magnetons per cell) = 0.00
- symmetry = P-4m2 (115)
- formation energy from the elements (meV per atom) = -722

Unit cell a=4.1228 b=4.1228 c=10.3524 alpha=90.00 beta=90.00 gamma=90.00
Positions (direct):
Ga: 0.0000 0.0000 0.0000
Ga: 0.5000 0.5000 0.0000
Ga: 0.0000 0.5000 0.3741
Ga: 0.5000 0.0000 0.6259
Er: 0.0000 0.5000 0.7420
Er: 0.5000 0.0000 0.2580
Rh: 0.5000 0.0000 0.8609
Rh: 0.0000 0.5000 0.1391
Rh: 0.0000 0.0000 0.5000
Ni: 0.5000 0.5000 0.5000


[7]
The following is a PBE calculation of crystalline Er2Ga5Ni2Rh at its relaxed geometry, from Alexandria.

- VASP energy (eV per atom) = -4.86
- total moment (Bohr magnetons per cell) = 0.00
- symmetry = P4/mbm (127)
- formation energy from the elements (meV per atom) = -547

Unit cell a=4.0111 b=9.0766 c=9.0766 alpha=90.00 beta=90.00 gamma=90.00
Positions (direct):
Er: 0.0000 0.6828 0.1828
Er: 0.0000 0.8172 0.6828
Er: 0.0000 0.1828 0.3172
Er: 0.0000 0.3172 0.8172
Ni: 0.0000 0.6115 0.8885
Ni: 0.0000 0.3885 0.1115
Ni: 0.0000 0.8885 0.3885
Ni: 0.0000 0.1115 0.6115
Rh: 0.0000 0.0000 0.0000
Rh: 0.0000 0.5000 0.5000
Ga: 0.5000 0.0000 0.5000
Ga: 0.5000 0.4415 0.2962
Ga: 0.5000 0.2962 0.5585
Ga: 0.5000 0.2038 0.0585
Ga: 0.5000 0.7962 0.9415
Ga: 0.5000 0.0585 0.7962
Ga: 0.5000 0.9415 0.2038
Ga: 0.5000 0.7038 0.4415
Ga: 0.5000 0.5585 0.7038
Ga: 0.5000 0.5000 0.0000


[8]
The following is a PBE calculation of crystalline ErGa3NiRu at its relaxed geometry, from Alexandria.

- VASP energy (eV per atom) = -5.12
- total moment (Bohr magnetons per cell) = 0.00
- symmetry = Cmcm (63)
- formation energy from the elements (meV per atom) = -333

Unit cell a=5.4997 b=7.7256 c=6.5161 alpha=126.36 beta=90.00 gamma=90.00
Positions (direct):
Ga: 0.7500 0.8155 0.6309
Ga: 0.5000 0.2513 0.0000
Ga: 0.2500 0.1845 0.3691
Ga: 0.0000 0.7487 0.0000
Ga: 0.0000 0.2513 0.0000
Ga: 0.5000 0.7487 0.0000
Er: 0.7500 0.2970 0.5939
Er: 0.2500 0.7030 0.4061
Ru: 0.2500 0.4154 0.8308
Ru: 0.7500 0.5846 0.1692
Ni: 0.7500 0.0397 0.0795
Ni: 0.2500 0.9603 0.9205


[9]
The following is a PBE calculation of crystalline ErGa2Ni2Ru at its relaxed geometry, from Alexandria.

- VASP energy (eV per atom) = -5.22
- total moment (Bohr magnetons per cell) = 0.00
- symmetry = P4/mmm (123)
- formation energy from the elements (meV per atom) = 21

Unit cell a=4.6285 b=4.6285 c=5.1813 alpha=90.00 beta=90.00 gamma=90.00
Positions (direct):
Ga: 0.5000 0.0000 0.0000
Ga: 0.0000 0.5000 0.0000
Ru: 0.0000 0.0000 0.0000
Ni: 0.5000 0.5000 0.2519
Ni: 0.5000 0.5000 0.7481
Er: 0.0000 0.0000 0.5000


[10]
The following is a PBE calculation of crystalline Er2Ga3Ni4Ru at its relaxed geometry, from Alexandria.

- VASP energy (eV per atom) = -5.55
- total moment (Bohr magnetons per cell) = 0.00
- symmetry = P-4m2 (115)
- formation energy from the elements (meV per atom) = -486

Unit cell a=3.8570 b=3.8570 c=10.6931 alpha=90.00 beta=90.00 gamma=90.00
Positions (direct):
Ni: 0.0000 0.0000 0.0000
Ni: 0.5000 0.5000 0.0000
Ni: 0.5000 0.0000 0.6457
Ni: 0.0000 0.5000 0.3543
Ru: 0.5000 0.5000 0.5000
Er: 0.5000 0.0000 0.2581
Er: 0.0000 0.5000 0.7419
Ga: 0.0000 0.0000 0.5000
Ga: 0.0000 0.5000 0.1325
Ga: 0.5000 0.0000 0.8675


[11]
The following is a PBE calculation of crystalline Er3GaNiS7 at its relaxed geometry, from Alexandria.

- VASP energy (eV per atom) = -5.73
- total moment (Bohr magnetons per cell) = 4.08
- symmetry = P6_3 (173)
- formation energy from raw total energies (eV per atom) = -1.448

Unit cell a=9.4870 b=9.4870 c=6.1821 alpha=90.00 beta=90.00 gamma=120.00
Each line ends with the local moment (μB).
Positions (direct):
S: 0.7679 0.8699 0.7740  0.14
S: 0.8699 0.1021 0.2740  0.14
S: 0.3333 0.6667 0.9708  0.01
S: 0.1021 0.2321 0.7740  0.14
S: 0.5197 0.0853 0.9434  0.01
S: 0.4803 0.9147 0.4434  0.01
S: 0.0853 0.5656 0.4434  0.01
S: 0.9147 0.4344 0.9434  0.01
S: 0.2321 0.1301 0.2740  0.14
S: 0.8979 0.7679 0.2740  0.14
S: 0.1301 0.8979 0.7740  0.14
S: 0.6667 0.3333 0.4708  0.01
S: 0.4344 0.5197 0.4434  0.01
S: 0.5656 0.4803 0.9434  0.01
Er: 0.7811 0.1568 0.6765  0.03
Er: 0.8432 0.6243 0.6765  0.03
Er: 0.1568 0.3757 0.1765  0.03
Er: 0.6243 0.7811 0.1765  0.03
Er: 0.2189 0.8432 0.1765  0.03
Er: 0.3757 0.2189 0.6765  0.03
Ga: 0.6667 0.3333 0.1046  0.00
Ga: 0.3333 0.6667 0.6046  0.00
Ni: 0.0000 0.0000 0.5101  1.21
Ni: 0.0000 0.0000 0.0101  1.21


[12]
The following is a PBE calculation of crystalline Er2GaSi2Ni5 at its relaxed geometry, from Alexandria.

- VASP energy (eV per atom) = -5.69
- total moment (Bohr magnetons per cell) = 0.00
- symmetry = P4/mbm (127)
- formation energy from raw total energies (eV per atom) = -0.501

Unit cell a=3.2092 b=9.5827 c=9.5827 alpha=90.00 beta=90.00 gamma=90.00
Positions (direct):
Ni: 0.5000 0.0563 0.7910
Ni: 0.5000 0.2090 0.0563
Ni: 0.5000 0.0000 0.5000
Ni: 0.5000 0.5563 0.7090
Ni: 0.5000 0.2910 0.5563
Ni: 0.5000 0.7090 0.4437
Ni: 0.5000 0.7910 0.9437
Ni: 0.5000 0.5000 0.0000
Ni: 0.5000 0.4437 0.2910
Ni: 0.5000 0.9437 0.2090
Si: 0.0000 0.1205 0.6205
Si: 0.0000 0.3795 0.1205
Si: 0.0000 0.8795 0.3795
Si: 0.0000 0.6205 0.8795
Ga: 0.0000 0.0000 0.0000
Ga: 0.0000 0.5000 0.5000
Er: 0.0000 0.8221 0.6779
Er: 0.0000 0.6779 0.1779
Er: 0.0000 0.1779 0.3221
Er: 0.0000 0.3221 0.8221


[13]
The following is a PBE calculation of crystalline Er2GaSi3Ni4 at its relaxed geometry, from Alexandria.

- VASP energy (eV per atom) = -5.95
- total moment (Bohr magnetons per cell) = 0.00
- symmetry = P-4m2 (115)
- formation energy from raw total energies (eV per atom) = -0.795

Unit cell a=3.9607 b=3.9607 c=9.5997 alpha=90.00 beta=90.00 gamma=90.00
Positions (direct):
Si: 0.0000 0.5000 0.1262
Si: 0.5000 0.0000 0.8738
Si: 0.0000 0.0000 0.5000
Ni: 0.5000 0.0000 0.6373
Ni: 0.0000 0.5000 0.3627
Ni: 0.5000 0.5000 0.0000
Ni: 0.0000 0.0000 0.0000
Ga: 0.5000 0.5000 0.5000
Er: 0.5000 0.0000 0.2475
Er: 0.0000 0.5000 0.7525


[14]
The following is a PBE calculation of crystalline ErGa2SiNi4 at its relaxed geometry, from Alexandria.

- VASP energy (eV per atom) = -5.40
- total moment (Bohr magnetons per cell) = 0.00
- symmetry = R-3m (166)
- formation energy from raw total energies (eV per atom) = -0.502

Unit cell a=4.0342 b=4.0342 c=8.4196 alpha=76.14 beta=76.14 gamma=60.00
Positions (direct):
Ni: 0.4076 0.4076 0.7771
Ni: 0.1372 0.1372 0.5883
Ni: 0.8628 0.8628 0.4117
Ni: 0.5924 0.5924 0.2229
Ga: 0.7526 0.7526 0.7422
Ga: 0.2474 0.2474 0.2578
Si: 0.5000 0.5000 0.5000
Er: 0.0000 0.0000 0.0000


[15]
The following is a PBE calculation of crystalline ErGaSiNi3 at its relaxed geometry, from Alexandria.

- VASP energy (eV per atom) = -5.47
- total moment (Bohr magnetons per cell) = 0.00
- symmetry = Cmcm (63)
- formation energy from raw total energies (eV per atom) = -0.415

Unit cell a=5.3238 b=6.1693 c=6.4438 alpha=118.60 beta=90.00 gamma=90.00
Positions (direct):
Ni: 0.0000 0.6965 0.0000
Ni: 0.2500 0.1690 0.3380
Ni: 0.5000 0.6965 0.0000
Ni: 0.0000 0.3035 0.0000
Ni: 0.7500 0.8310 0.6620
Ni: 0.5000 0.3035 0.0000
Si: 0.7500 0.6305 0.2609
Si: 0.2500 0.3695 0.7391
Er: 0.2500 0.7076 0.4152
Er: 0.7500 0.2924 0.5848
Ga: 0.2500 0.9560 0.9120
Ga: 0.7500 0.0440 0.0880


[16]
The following is a PBE calculation of crystalline SmErGa2Ni2 at its relaxed geometry, from Alexandria.

- VASP energy (eV per atom) = -5.08
- total moment (Bohr magnetons per cell) = 0.00
- symmetry = P-3m1 (164)
- formation energy from the elements (meV per atom) = -594

Unit cell a=4.2786 b=4.2786 c=7.1802 alpha=90.00 beta=90.00 gamma=120.00
Positions (direct):
Ni: 0.6667 0.3333 0.2717
Ni: 0.3333 0.6667 0.7283
Er: 0.0000 0.0000 0.5000
Sm: 0.0000 0.0000 0.0000
Ga: 0.3333 0.6667 0.2658
Ga: 0.6667 0.3333 0.7342


[17]
The following is a PBE calculation of crystalline Er3Ga2Ni9Sn at its relaxed geometry, from Alexandria.

- VASP energy (eV per atom) = -5.18
- total moment (Bohr magnetons per cell) = 0.00
- symmetry = P-3m1 (164)
- formation energy from the elements (meV per atom) = -124

Unit cell a=5.9427 b=5.9427 c=9.0385 alpha=90.00 beta=90.00 gamma=120.00
Positions (direct):
Ni: 0.5000 0.5000 0.0000
Ni: 0.7347 0.8673 0.2656
Ni: 0.1327 0.2653 0.2656
Ni: 0.8673 0.7347 0.7344
Ni: 0.2653 0.1327 0.7344
Ni: 0.1327 0.8673 0.2656
Ni: 0.8673 0.1327 0.7344
Ni: 0.0000 0.5000 0.0000
Ni: 0.5000 0.0000 0.0000
Ga: 0.3333 0.6667 0.1764
Ga: 0.6667 0.3333 0.8236
Er: 0.0000 0.0000 0.0000
Er: 0.3333 0.6667 0.7409
Er: 0.6667 0.3333 0.2591
Sn: 0.0000 0.0000 0.5000


[18]
The following is a PBE calculation of crystalline ErThGa2Ni2 at its relaxed geometry, from Alexandria.

- VASP energy (eV per atom) = -5.52
- total moment (Bohr magnetons per cell) = 0.00
- symmetry = P-3m1 (164)
- formation energy from the elements (meV per atom) = -588

Unit cell a=4.3080 b=4.3080 c=7.1521 alpha=90.00 beta=90.00 gamma=120.00
Positions (direct):
Ga: 0.3333 0.6667 0.2709
Ga: 0.6667 0.3333 0.7291
Er: 0.0000 0.0000 0.5000
Ni: 0.3333 0.6667 0.7386
Ni: 0.6667 0.3333 0.2614
Th: 0.0000 0.0000 0.0000


[19]
The following is a PBE calculation of crystalline ErThGa2Ni5 at its relaxed geometry, from Alexandria.

- VASP energy (eV per atom) = -5.66
- total moment (Bohr magnetons per cell) = 0.00
- symmetry = P4/mmm (123)
- formation energy from the elements (meV per atom) = -445

Unit cell a=4.0700 b=4.0700 c=8.6541 alpha=90.00 beta=90.00 gamma=90.00
Positions (direct):
Ni: 0.0000 0.5000 0.2836
Ni: 0.0000 0.5000 0.7164
Ni: 0.5000 0.0000 0.7164
Ni: 0.5000 0.5000 0.5000
Ni: 0.5000 0.0000 0.2836
Th: 0.0000 0.0000 0.5000
Ga: 0.5000 0.5000 0.1450
Ga: 0.5000 0.5000 0.8550
Er: 0.0000 0.0000 0.0000


[20]
The following is a PBE calculation of crystalline ErTiGaNi at its relaxed geometry, from Alexandria.

- VASP energy (eV per atom) = -5.61
- total moment (Bohr magnetons per cell) = 1.22
- symmetry = F-43m (216)
- formation energy from the elements (meV per atom) = -295

Unit cell a=4.6464 b=4.6464 c=4.6464 alpha=60.00 beta=60.00 gamma=60.00
Each line ends with the local moment (μB).
Positions (direct):
Ni: 0.0000 0.0000 0.0000  0.28
Er: 0.7500 0.7500 0.7500  0.12
Ga: 0.5000 0.5000 0.5000  0.02
Ti: 0.2500 0.2500 0.2500  0.66